A plane-wave DFT calculation with PBE with a Hubbard U was carried out for crystalline LiErMnF6 at its relaxed geometry.

The structure in POSCAR format:
```
LiErMnF6
1.0
5.4112 0.0000 0.0000
-2.7056 4.6862 0.0000
0.0000 0.0000 9.3185
Li Er Mn F
2 2 2 12
Cartesian
0.0000 3.1241 2.3296
2.7056 1.5621 6.9889
0.0000 3.1241 6.9889
2.7056 1.5621 2.3296
0.0000 0.0000 0.0000
0.0000 0.0000 4.6593
-0.8488 1.5848 1.2100
-1.7575 3.1587 3.4493
0.8488 1.5848 3.4493
-0.9087 4.6289 1.2100
1.7969 0.0573 5.8693
0.9480 1.5275 8.1085
1.7575 3.1587 1.2100
0.9087 4.6289 3.4493
3.6143 0.0573 8.1085
1.8567 3.1014 5.8693
4.4631 1.5275 5.8693
3.5544 3.1014 8.1085
```

Calculated values
Energy = -6.15 eV/atom